An optimized crystal structure of Na5HfTe5, computed with PBE.

## Properties
D(E_F): 11.08 states/eV/cell
total moment: 0.00 μB per formula unit
formation energy (no corrections): -0.76 eV/atom

Lattice parameters (Å, degrees): 5.993 8.034 8.871 106.87 90.00 111.90
Fractional positions:
Na1 0.700 0.401 0.327
Na2 0.687 0.374 0.862
Na3 0.000 0.000 0.500
Na4 0.313 0.626 0.138
Na5 0.300 0.599 0.673
Hf1 0.000 0.000 0.000
Te1 0.862 0.724 0.167
Te2 0.851 0.703 0.694
Te3 0.500 0.000 0.000
Te4 0.149 0.297 0.306
Te5 0.138 0.276 0.833